(1)
Computed, not measured: an optimized crystal structure of Np2As7Pd12 at the PBE-GGA level of DFT. Values from VASP.

Calculated values
N(E_F) = 24.90 states/eV/f.u.
Raw total energy = -6.2004 eV per atom
Formation energy = -0.45 eV/atom

Structure (Quantum ESPRESSO input):
```
&SYSTEM
  ibrav = 0, nat = 21, ntyp = 3
/
ATOMIC_SPECIES
Np 237.00 Np.upf
As 74.92 As.upf
Pd 106.42 Pd.upf
CELL_PARAMETERS angstrom
10.142 0.000 0.000
-5.071 8.783 0.000
0.000 0.000 4.057
ATOMIC_POSITIONS crystal
Np 0.333 0.667 0.247
Np 0.667 0.333 0.753
As 0.000 0.000 0.500
As 0.130 0.419 0.747
As 0.289 0.870 0.747
As 0.419 0.289 0.253
As 0.581 0.711 0.747
As 0.711 0.130 0.253
As 0.870 0.581 0.253
Pd 0.047 0.615 0.748
Pd 0.102 0.848 0.232
Pd 0.152 0.254 0.232
Pd 0.254 0.102 0.768
Pd 0.385 0.432 0.748
Pd 0.432 0.047 0.252
Pd 0.568 0.953 0.748
Pd 0.615 0.568 0.252
Pd 0.746 0.898 0.232
Pd 0.848 0.746 0.768
Pd 0.898 0.152 0.768
Pd 0.953 0.385 0.252
```

(2)
Computed, not measured: an optimized crystal structure of Np2As3Pd5 at the PBE-GGA level of DFT. Values from VASP.

Calculated values
N(E_F) = 23.99 states/eV/f.u.
Raw total energy = -7.0646 eV per atom
Formation energy = -0.49 eV/atom

Structure (Quantum ESPRESSO input):
```
&SYSTEM
  ibrav = 0, nat = 20, ntyp = 3
/
ATOMIC_SPECIES
Np 237.00 Np.upf
As 74.92 As.upf
Pd 106.42 Pd.upf
CELL_PARAMETERS angstrom
2.222 -11.794 0.000
2.222 11.794 0.000
0.000 0.000 6.946
ATOMIC_POSITIONS crystal
Np 0.018 0.982 0.500
Np 0.331 0.669 0.481
Np 0.669 0.331 0.981
Np 0.982 0.018 0.000
As 0.107 0.893 0.800
As 0.272 0.728 0.884
As 0.448 0.552 0.695
As 0.552 0.448 0.195
As 0.728 0.272 0.384
As 0.893 0.107 0.300
Pd 0.111 0.889 0.217
Pd 0.196 0.804 0.596
Pd 0.231 0.769 0.207
Pd 0.375 0.625 0.976
Pd 0.448 0.552 0.303
Pd 0.552 0.448 0.803
Pd 0.625 0.375 0.476
Pd 0.769 0.231 0.707
Pd 0.804 0.196 0.096
Pd 0.889 0.111 0.717
```

(3)
Computed, not measured: an optimized crystal structure of NpAs3Pd at the PBE-GGA level of DFT. Values from VASP.

Calculated values
N(E_F) = 9.24 states/eV/f.u.
Raw total energy = -6.8622 eV per atom
Formation energy = -0.45 eV/atom

Structure (Quantum ESPRESSO input):
```
&SYSTEM
  ibrav = 0, nat = 20, ntyp = 3
/
ATOMIC_SPECIES
Np 237.00 Np.upf
As 74.92 As.upf
Pd 106.42 Pd.upf
CELL_PARAMETERS angstrom
12.006 0.000 0.000
0.000 5.673 0.000
0.000 0.000 5.718
ATOMIC_POSITIONS crystal
Np 0.188 0.007 0.250
Np 0.188 0.493 0.750
Np 0.812 0.507 0.250
Np 0.812 0.993 0.750
As 0.002 0.750 0.000
As 0.002 0.750 0.500
As 0.250 0.508 0.250
As 0.250 0.992 0.750
As 0.423 0.129 0.250
As 0.423 0.371 0.750
As 0.577 0.629 0.250
As 0.577 0.871 0.750
As 0.750 0.008 0.250
As 0.750 0.492 0.750
As 0.998 0.250 0.000
As 0.998 0.250 0.500
Pd 0.411 0.750 0.000
Pd 0.411 0.750 0.500
Pd 0.589 0.250 0.000
Pd 0.589 0.250 0.500
```

(4)
Computed, not measured: an optimized crystal structure of NpAs2Pd2 at the PBE-GGA level of DFT. Values from VASP.

Calculated values
Excess energy over the best structure of this formula in the dataset = 115.2 meV/atom
N(E_F) = 12.36 states/eV/f.u.
Raw total energy = -6.8747 eV per atom
Formation energy = -0.35 eV/atom

Structure (Quantum ESPRESSO input):
```
&SYSTEM
  ibrav = 0, nat = 10, ntyp = 3
/
ATOMIC_SPECIES
Np 237.00 Np.upf
As 74.92 As.upf
Pd 106.42 Pd.upf
CELL_PARAMETERS angstrom
0.000 4.997 6.942
2.868 0.000 6.942
2.868 4.997 0.000
ATOMIC_POSITIONS crystal
Np 0.125 0.125 0.125
Np 0.875 0.875 0.875
As 0.163 0.587 0.163
As 0.413 0.837 0.413
As 0.587 0.163 0.587
As 0.837 0.413 0.837
Pd 0.275 0.275 0.475
Pd 0.475 0.475 0.275
Pd 0.525 0.525 0.725
Pd 0.725 0.725 0.525
```

(5)
Computed, not measured: an optimized crystal structure of Np3As4Pd2 at the PBE-GGA level of DFT. Values from VASP.

Calculated values
N(E_F) = 25.90 states/eV/f.u.
Raw total energy = -8.1155 eV per atom
Formation energy = -0.58 eV/atom

Structure (Quantum ESPRESSO input):
```
&SYSTEM
  ibrav = 0, nat = 9, ntyp = 3
/
ATOMIC_SPECIES
Np 237.00 Np.upf
As 74.92 As.upf
Pd 106.42 Pd.upf
CELL_PARAMETERS angstrom
7.301 -2.040 0.000
7.301 2.040 0.000
-2.593 0.000 6.296
ATOMIC_POSITIONS crystal
Np 0.000 0.000 0.000
Np 0.134 0.134 0.587
Np 0.866 0.866 0.413
As 0.210 0.210 0.247
As 0.495 0.495 0.294
As 0.505 0.505 0.706
As 0.790 0.790 0.753
Pd 0.321 0.321 0.008
Pd 0.679 0.679 0.992
```

(6)
Computed, not measured: an optimized crystal structure of NpAsPd6 at the PBE-GGA level of DFT. Values from VASP.

Calculated values
N(E_F) = 12.44 states/eV/f.u.
Raw total energy = -6.3089 eV per atom
Formation energy = -0.22 eV/atom

Structure (Quantum ESPRESSO input):
```
&SYSTEM
  ibrav = 0, nat = 8, ntyp = 3
/
ATOMIC_SPECIES
Np 237.00 Np.upf
As 74.92 As.upf
Pd 106.42 Pd.upf
CELL_PARAMETERS angstrom
3.238 -4.572 0.000
3.238 4.572 0.000
-3.173 0.000 4.627
ATOMIC_POSITIONS crystal
Np 0.000 0.000 0.000
As 0.500 0.500 0.500
Pd 0.248 0.248 0.733
Pd 0.248 0.733 0.248
Pd 0.267 0.752 0.752
Pd 0.733 0.248 0.248
Pd 0.752 0.267 0.752
Pd 0.752 0.752 0.267
```